[1]
Density functional theory data (PBE with a Hubbard U) for Na2VSnF8 after structural relaxation.

a b c (Å): 5.0900 6.7864 5.1403
angles (deg): 90.00 92.14 90.00
Last column: nearest neighbours and their distance in Å.
Element x y z (fractional)
Na  0.0000  0.2384  0.0000  6 F 2.29-2.38
Na  0.0000  0.7616  0.0000  6 F 2.29-2.38
V  0.5000  0.0000  0.5000  6 F 1.92-2.02
Sn  0.5000  0.5000  0.5000  6 F 2.10-2.27
F  0.2052  0.5000  0.2023  1 Sn 2.10, 2 Na 2.29
F  0.2318  0.0000  0.2272  1 V 1.92
F  0.3192  0.2270  0.6746  1 V 2.02
F  0.3192  0.7730  0.6746  1 V 2.02
F  0.6808  0.2270  0.3254  1 V 2.02
F  0.6808  0.7730  0.3254  1 V 2.02
F  0.7682  0.0000  0.7728  1 V 1.92
F  0.7948  0.5000  0.7977  1 Sn 2.10, 2 Na 2.29

Output
Its space group is No. 10. Its crystal system is monoclinic. For the raw total energy, the calculation gives -60.855 eV for the cell shown. The magnetic moment is 1.13 μB per formula unit.

[2]
Density functional theory data (PBE with a Hubbard U) for NaVSnF6 after structural relaxation.

a b c (Å): 5.1866 5.1866 10.4520
angles (deg): 90.00 90.00 90.00
Last column: nearest neighbours and their distance in Å.
Element x y z (fractional)
Na  0.0000  0.0000  0.0000  6 F 2.32-2.41
Na  0.5000  0.5000  0.5000  6 F 2.32-2.41
V  0.0000  0.0000  0.3339  6 F 1.97-2.00
V  0.5000  0.5000  0.8339  6 F 1.97-2.00
Sn  0.0000  0.0000  0.6677  6 F 2.37-2.44
Sn  0.5000  0.5000  0.1677  6 F 2.37-2.44
F  0.1789  0.1789  0.1891  1 V 2.00
F  0.1853  0.1853  0.4741  1 V 2.00
F  0.2310  0.2310  0.8358  1 V 1.97
F  0.2690  0.7310  0.3358  1 V 1.97
F  0.3147  0.6853  0.9741  1 V 2.00
F  0.3211  0.6789  0.6891  1 V 2.00
F  0.6789  0.3211  0.6891  1 V 2.00
F  0.6853  0.3147  0.9741  1 V 2.00
F  0.7310  0.2690  0.3358  1 V 1.97
F  0.7690  0.7690  0.8358  1 V 1.97
F  0.8147  0.8147  0.4741  1 V 2.00
F  0.8211  0.8211  0.1891  1 V 2.00

Output
Its space group is No. 102. Its crystal system is tetragonal. For the raw total energy, the calculation gives -95.955 eV for the cell shown. The magnetic moment is 2.00 μB per formula unit.

For the records above, the corresponding DOS at the Fermi energy values read 1.84; 0.00 states/eV/cell.
For the records above, the corresponding calculated density values read 3.44; 3.62 g/cm3.
For the records above, the corresponding V values read 177.4; 140.6 Å³/f.u..